(1)
DFT (SCAN) results for a PBEsol-optimized structure of RbMgCr3.

Magnetization (μB per formula unit): 14.943
Energy of formation (eV per atom): 1.12
N(E_F) (states/eV/atom): 0.599

Structure (CIF):
```
data_RbMgCr3
_chemical_formula_sum 'Rb1 Mg1 Cr3'
_symmetry_space_group_name_H-M 'P m -3 m'
_symmetry_Int_Tables_number 221
_symmetry_space_group_name_Hall '-P 4 2 3'
_cell_length_a 5.328
_cell_length_b 5.328
_cell_length_c 5.328
_cell_angle_alpha 90.00
_cell_angle_beta 90.00
_cell_angle_gamma 90.00
loop_
_atom_site_label
_atom_site_fract_x
_atom_site_fract_y
_atom_site_fract_z
Rb1 0.000 0.000 0.000
Mg1 0.500 0.500 0.500
Cr1 0.000 0.500 0.500
```

***

(2)
DFT (SCAN) results for a PBEsol-optimized structure of ZnCrPb.

Magnetization (μB per formula unit): 4.256
Energy of formation (eV per atom): 0.34
N(E_F) (states/eV/atom): 0.277

Structure (CIF):
```
data_ZnCrPb
_chemical_formula_sum 'Zn1 Cr1 Pb1'
_symmetry_space_group_name_H-M 'P 3 m 1'
_symmetry_Int_Tables_number 156
_cell_length_a 3.2689
_cell_length_b 3.2689
_cell_length_c 6.5328
_cell_angle_alpha 90.00
_cell_angle_beta 90.00
_cell_angle_gamma 120.00
loop_
_symmetry_equiv_pos_as_xyz
'x,y,z'
'-y,x-y,z'
'-x+y,-x,z'
'-y,-x,z'
'-x+y,y,z'
'x,x-y,z'
loop_
_atom_site_label
_atom_site_fract_x
_atom_site_fract_y
_atom_site_fract_z
Zn1 0.0000 0.0000 0.0000
Cr1 0.6667 0.3333 0.7147
Pb1 0.3333 0.6667 0.3609
```

***

(3)
DFT (SCAN) results for a PBEsol-optimized structure of BaCu2As2O8.

Magnetization (μB per formula unit): 1.975
E_tot (eV per cell): -361.5

Structure (CIF):
```
data_BaCu2As2O8
_chemical_formula_sum 'Ba2 Cu4 As4 O16'
_symmetry_space_group_name_H-M 'P 1 21/c 1'
_symmetry_Int_Tables_number 14
_cell_length_a 4.678
_cell_length_b 8.734
_cell_length_c 9.893
_cell_angle_alpha 90.00
_cell_angle_beta 115.95
_cell_angle_gamma 90.00
loop_
_symmetry_equiv_pos_as_xyz
'x,y,z'
'-x,-y,-z'
'-x,y+1/2,-z+1/2'
'x,-y+1/2,z+1/2'
loop_
_atom_site_label
_atom_site_fract_x
_atom_site_fract_y
_atom_site_fract_z
Ba1 0.000 0.000 0.000
Cu1 0.112 0.081 0.655
As1 0.374 0.183 0.424
O1 0.077 0.086 0.279
O2 0.271 0.593 0.036
O3 0.316 0.226 0.580
O4 0.391 0.131 0.864
```